Record 1
Material: LaSm2TmTl4
Method: DFT, GGA-PBE
State: relaxed

Results
The symmetry is R-3m (166).

Lattice parameters (Å, degrees): 9.532 9.532 9.532 33.33 33.33 33.33
Sites, in units of the cell vectors:
1 La 0.000 0.000 0.000
2 Sm 0.249 0.249 0.249
3 Sm 0.751 0.751 0.751
4 Tm 0.500 0.500 0.500
5 Tl 0.127 0.127 0.127
6 Tl 0.378 0.378 0.378
7 Tl 0.622 0.622 0.622
8 Tl 0.873 0.873 0.873


Record 2
Material: LiPmTmCo
Method: DFT, GGA-PBE
State: relaxed

Results
The symmetry is F-43m (216).

Lattice parameters (Å, degrees): 4.893 4.893 4.893 60.00 60.00 60.00
Sites, in units of the cell vectors:
1 Li 0.000 0.000 0.000
2 Pm 0.750 0.750 0.750
3 Tm 0.250 0.250 0.250
4 Co 0.500 0.500 0.500


Record 3
Material: YTeF2
Method: DFT, GGA-PBE
State: relaxed

Results
The symmetry is I-42d (122). The uncorrected formation energy comes out at -10.24 eV per formula unit.

Lattice parameters (Å, degrees): 7.810 7.810 7.810 141.34 141.34 55.82
Sites, in units of the cell vectors:
1 Y 0.000 0.000 0.000
2 Y 0.750 0.250 0.500
3 Te 0.250 0.750 0.500
4 Te 0.500 0.500 0.000
5 F 0.375 0.124 0.249
6 F 0.874 0.625 0.749
7 F 0.875 0.126 0.751
8 F 0.876 0.125 0.251


Record 4
Material: Li2ZrMo
Method: DFT, GGA-PBE
State: relaxed

Results
The symmetry is Cmmm (65). For the energy relative to the lowest polymorph listed for this composition, the calculation gives 0.170 eV per atom.

Lattice parameters (Å, degrees): 2.726 2.726 10.536 90.00 90.00 113.73
Sites, in units of the cell vectors:
1 Li 0.000 0.000 0.233
2 Li 0.000 0.000 0.767
3 Zr 0.500 0.500 0.500
4 Mo 0.500 0.500 0.000


Record 5
Material: PuNpCl2O6
Method: DFT, GGA-PBE
State: relaxed

Results
The symmetry is P-1 (2). The uncorrected formation energy comes out at -20.13 eV per formula unit.

Lattice parameters (Å, degrees): 5.835 6.001 6.077 81.59 62.22 89.90
Sites, in units of the cell vectors:
1 Pu 0.000 0.000 0.000
2 Np 0.500 0.500 0.000
3 Cl 0.255 0.522 0.491
4 Cl 0.745 0.478 0.509
5 O 0.160 0.033 0.669
6 O 0.263 0.269 0.022
7 O 0.281 0.728 0.977
8 O 0.719 0.272 0.023
9 O 0.737 0.731 0.978
10 O 0.840 0.967 0.331


Record 6
Material: SmFeRu
Method: DFT, GGA-PBE
State: relaxed

Results
The symmetry is P4_12_12 (92). For the energy relative to the lowest polymorph listed for this composition, the calculation gives 0.372 eV per atom.

Lattice parameters (Å, degrees): 6.622 6.622 5.889 90.00 90.00 90.00
Sites, in units of the cell vectors:
1 Sm 0.245 0.245 0.000
2 Sm 0.255 0.745 0.250
3 Sm 0.745 0.255 0.750
4 Sm 0.755 0.755 0.500
5 Fe 0.130 0.870 0.750
6 Fe 0.370 0.370 0.500
7 Fe 0.630 0.630 0.000
8 Fe 0.870 0.130 0.250
9 Ru 0.127 0.127 0.500
10 Ru 0.373 0.627 0.750
11 Ru 0.627 0.373 0.250
12 Ru 0.873 0.873 0.000


Record 7
Material: LaTcAg2
Method: DFT, GGA-PBE
State: relaxed

Results
The symmetry is Cmmm (65). For the energy relative to the lowest polymorph listed for this composition, the calculation gives 0.153 eV per atom.

Lattice parameters (Å, degrees): 5.342 5.342 3.106 90.00 90.00 115.09
Sites, in units of the cell vectors:
1 La 0.000 0.000 0.000
2 Tc 0.500 0.500 0.000
3 Ag 0.000 0.500 0.500
4 Ag 0.500 0.000 0.500


Record 8
Material: TmTh2Tl3
Method: DFT, GGA-PBE
State: relaxed

Results
The symmetry is P4/mmm (123). For the energy relative to the lowest polymorph listed for this composition, the calculation gives 0.000 eV per atom.

Lattice parameters (Å, degrees): 3.569 3.569 13.332 90.00 90.00 90.00
Sites, in units of the cell vectors:
1 Tm 0.000 0.000 0.000
2 Th 0.000 0.000 0.328
3 Th 0.000 0.000 0.672
4 Tl 0.500 0.500 0.156
5 Tl 0.500 0.500 0.500
6 Tl 0.500 0.500 0.844


Record 9
Material: PrNd4Dy2Mg
Method: DFT, GGA-PBE
State: relaxed

Results
The symmetry is P4/mmm (123).

Lattice parameters (Å, degrees): 5.894 5.894 7.603 90.00 90.00 90.00
Sites, in units of the cell vectors:
1 Pr 0.000 0.000 0.000
2 Nd 0.000 0.500 0.244
3 Nd 0.000 0.500 0.756
4 Nd 0.500 0.000 0.244
5 Nd 0.500 0.000 0.756
6 Dy 0.000 0.000 0.500
7 Dy 0.500 0.500 0.500
8 Mg 0.500 0.500 0.000


Record 10
Material: Na2Cd2Te
Method: DFT, GGA-PBE
State: relaxed

Results
The symmetry is P4/mbm (127). The uncorrected formation energy comes out at -1.21 eV per formula unit. For the energy relative to the lowest polymorph listed for this composition, the calculation gives 0.000 eV per atom.

Lattice parameters (Å, degrees): 7.932 7.932 4.610 90.00 90.00 90.00
Sites, in units of the cell vectors:
1 Na 0.175 0.325 0.000
2 Na 0.325 0.825 0.000
3 Na 0.675 0.175 0.000
4 Na 0.825 0.675 0.000
5 Cd 0.126 0.626 0.500
6 Cd 0.374 0.126 0.500
7 Cd 0.626 0.874 0.500
8 Cd 0.874 0.374 0.500
9 Te 0.000 0.000 0.500
10 Te 0.500 0.500 0.500


Record 11
Material: LaTlGa2Fe
Method: DFT, GGA-PBE
State: relaxed

Results
The symmetry is P4/mmm (123).

Lattice parameters (Å, degrees): 4.670 4.670 4.999 90.00 90.00 90.00
Sites, in units of the cell vectors:
1 La 0.000 0.000 0.000
2 Tl 0.500 0.500 0.000
3 Ga 0.000 0.500 0.500
4 Ga 0.500 0.000 0.500
5 Fe 0.500 0.500 0.500


Record 12
Material: RbZn8As6
Method: DFT, GGA-PBE
State: relaxed

Results
The symmetry is R-3 (148).

Lattice parameters (Å, degrees): 7.225 7.225 7.225 96.28 96.28 96.28
Sites, in units of the cell vectors:
1 Rb 0.000 0.000 0.000
2 Zn 0.170 0.628 0.508
3 Zn 0.329 0.329 0.329
4 Zn 0.372 0.492 0.830
5 Zn 0.492 0.830 0.372
6 Zn 0.508 0.170 0.628
7 Zn 0.628 0.508 0.170
8 Zn 0.671 0.671 0.671
9 Zn 0.830 0.372 0.492
10 As 0.146 0.280 0.592
11 As 0.280 0.592 0.146
12 As 0.408 0.854 0.720
13 As 0.592 0.146 0.280
14 As 0.720 0.408 0.854
15 As 0.854 0.720 0.408


Record 13
Material: Pr2MgAs4Pd3
Method: DFT, GGA-PBE
State: relaxed

Results
The symmetry is P-4m2 (115).

Lattice parameters (Å, degrees): 4.289 4.289 11.029 90.00 90.00 90.00
Sites, in units of the cell vectors:
1 Pr 0.000 0.500 0.243
2 Pr 0.500 0.000 0.757
3 Mg 0.000 0.000 0.500
4 As 0.000 0.000 0.000
5 As 0.000 0.500 0.645
6 As 0.500 0.000 0.355
7 As 0.500 0.500 0.000
8 Pd 0.000 0.500 0.870
9 Pd 0.500 0.000 0.130
10 Pd 0.500 0.500 0.500


Record 14
Material: LaGaNi4
Method: DFT, GGA-PBE
State: relaxed

Results
The symmetry is P-6m2 (187).

Lattice parameters (Å, degrees): 5.186 5.186 3.895 90.00 90.00 120.00
Sites, in units of the cell vectors:
1 La 0.000 0.000 0.000
2 Ga 0.333 0.667 0.000
3 Ni 0.503 0.006 0.500
4 Ni 0.503 0.497 0.500
5 Ni 0.667 0.333 0.000
6 Ni 0.994 0.497 0.500


Record 15
Material: Mn3CrPd12
Method: DFT, GGA-PBE
State: relaxed

Results
The symmetry is P4/mmm (123).

Lattice parameters (Å, degrees): 3.925 3.925 15.639 90.00 90.00 90.00
Sites, in units of the cell vectors:
1 Mn 0.000 0.000 0.000
2 Mn 0.000 0.000 0.250
3 Mn 0.000 0.000 0.750
4 Cr 0.000 0.000 0.500
5 Pd 0.000 0.500 0.125
6 Pd 0.000 0.500 0.377
7 Pd 0.000 0.500 0.623
8 Pd 0.000 0.500 0.875
9 Pd 0.500 0.000 0.125
10 Pd 0.500 0.000 0.377
11 Pd 0.500 0.000 0.623
12 Pd 0.500 0.000 0.875
13 Pd 0.500 0.500 0.000
14 Pd 0.500 0.500 0.251
15 Pd 0.500 0.500 0.500
16 Pd 0.500 0.500 0.749


Record 16
Material: FeRe2Si
Method: DFT, GGA-PBE
State: relaxed

Results
The symmetry is Amm2 (38). The uncorrected formation energy comes out at -0.36 eV per formula unit.

Lattice parameters (Å, degrees): 3.947 5.021 5.021 31.74 90.00 90.00
Sites, in units of the cell vectors:
1 Fe 0.000 0.000 0.000
2 Re 0.000 0.264 0.264
3 Re 0.500 0.618 0.618
4 Si 0.500 0.880 0.880


Record 17
Material: AlZn2Pb
Method: DFT, GGA-PBE
State: relaxed

Results
The symmetry is C2/m (12). For the energy relative to the lowest polymorph listed for this composition, the calculation gives 0.000 eV per atom.

Lattice parameters (Å, degrees): 4.639 4.639 5.790 101.60 101.60 43.00
Sites, in units of the cell vectors:
1 Al 0.000 0.000 0.000
2 Zn 0.261 0.261 0.817
3 Zn 0.739 0.739 0.183
4 Pb 0.500 0.500 0.500


Record 18
Material: Ac2TmGa3Pd4
Method: DFT, GGA-PBE
State: relaxed

Results
The symmetry is P-4m2 (115).

Lattice parameters (Å, degrees): 4.407 4.407 11.359 90.00 90.00 90.00
Sites, in units of the cell vectors:
1 Ac 0.000 0.500 0.232
2 Ac 0.500 0.000 0.768
3 Tm 0.000 0.000 0.500
4 Ga 0.000 0.500 0.883
5 Ga 0.500 0.000 0.117
6 Ga 0.500 0.500 0.500
7 Pd 0.000 0.000 0.000
8 Pd 0.000 0.500 0.653
9 Pd 0.500 0.000 0.347
10 Pd 0.500 0.500 0.000


Record 19
Material: RbI2O
Method: DFT, GGA-PBE
State: relaxed

Results
The symmetry is Fm-3m (225). The uncorrected formation energy comes out at 0.39 eV per formula unit. For the energy relative to the lowest polymorph listed for this composition, the calculation gives 0.606 eV per atom.

Lattice parameters (Å, degrees): 5.887 5.887 5.887 60.00 60.00 60.00
Sites, in units of the cell vectors:
1 Rb 0.000 0.000 0.000
2 I 0.250 0.250 0.250
3 I 0.750 0.750 0.750
4 O 0.500 0.500 0.500


Record 20
Material: HgGePd5
Method: DFT, GGA-PBE
State: relaxed

Results
The symmetry is P4/mmm (123). For the energy relative to the lowest polymorph listed for this composition, the calculation gives 0.000 eV per atom.

Lattice parameters (Å, degrees): 4.085 4.085 7.013 90.00 90.00 90.00
Sites, in units of the cell vectors:
1 Hg 0.000 0.000 0.000
2 Ge 0.500 0.500 0.500
3 Pd 0.000 0.500 0.291
4 Pd 0.000 0.500 0.709
5 Pd 0.500 0.000 0.291
6 Pd 0.500 0.000 0.709
7 Pd 0.500 0.500 0.000


no.,total energy (eV for the cell shown),total moment (μB/atom)
1,-31.17,0.000
2,-18.43,0.000
3,-47.18,0.000
4,-21.63,0.000
5,-80.85,0.181
6,-86.94,0.000
7,-19.53,0.001
8,-27.56,0.021
9,-34.13,0.000
10,-17.64,0.000
11,-22.86,0.021
12,-41.13,0.000
13,-53.91,0.000
14,-33.58,0.000
15,-102.33,1.020
16,-39.14,0.000
17,-9.43,0.000
18,-50.74,0.000
19,-8.63,0.750
20,-33.01,0.000